Record 1
! Er4InPb | the Alexandria database | PBE | optimized geometry; values from VASP
&SYSTEM
  ibrav = 0, nat = 6, ntyp = 3
/
ATOMIC_SPECIES
Pb 207.20 Pb.upf
Er 167.26 Er.upf
In 114.82 In.upf
CELL_PARAMETERS angstrom
3.514 0.000 0.642
1.713 5.310 0.564
0.045 0.194 9.690
ATOMIC_POSITIONS crystal
Pb 0.500 0.500 0.500
Er 0.354 0.440 0.853
Er 0.156 0.033 0.655
Er 0.844 0.967 0.345
Er 0.646 0.560 0.147
In 0.000 0.000 0.000
! SG: C2/m, No. 12
! Formation energy, kJ/mol of atoms: -6.8
! Excess energy over the best structure of this formula in the dataset, eV per atom: 0.062
! DOS(E_F), states/eV per cell: 8.60

Record 2
! Er5In4Pb | the Alexandria database | PBE | optimized geometry; values from VASP
&SYSTEM
  ibrav = 0, nat = 10, ntyp = 3
/
ATOMIC_SPECIES
In 114.82 In.upf
Pb 207.20 Pb.upf
Er 167.26 Er.upf
CELL_PARAMETERS angstrom
3.578 0.000 0.000
0.000 3.578 0.000
0.000 0.000 20.595
ATOMIC_POSITIONS crystal
In 0.000 0.000 0.796
In 0.000 0.000 0.598
In 0.000 0.000 0.402
In 0.000 0.000 0.204
Pb 0.000 0.000 0.000
Er 0.500 0.500 0.895
Er 0.500 0.500 0.500
Er 0.500 0.500 0.697
Er 0.500 0.500 0.303
Er 0.500 0.500 0.105
! SG: P4/mmm, No. 123
! Formation energy, kJ/mol of atoms: -40.9
! DOS(E_F), states/eV per cell: 6.93

Record 3
! Er12In3Pb | the Alexandria database | PBE | optimized geometry; values from VASP
&SYSTEM
  ibrav = 0, nat = 16, ntyp = 3
/
ATOMIC_SPECIES
Er 167.26 Er.upf
Pb 207.20 Pb.upf
In 114.82 In.upf
CELL_PARAMETERS angstrom
-0.156 -2.318 4.203
-3.342 -2.966 -1.759
13.804 -11.951 -6.077
ATOMIC_POSITIONS crystal
Er 0.000 0.500 0.375
Er 0.500 0.500 0.250
Er 0.000 0.500 0.874
Er 0.500 0.000 0.126
Er 0.000 0.500 0.126
Er 0.500 0.500 0.500
Er 0.000 0.500 0.625
Er 0.500 0.000 0.375
Er 0.500 0.500 0.000
Er 0.500 0.000 0.625
Er 0.500 0.500 0.750
Er 0.500 0.000 0.874
Pb 0.000 0.000 0.000
In 0.000 0.000 0.251
In 0.000 0.000 0.749
In 0.000 0.000 0.500
! SG: P4/mmm, No. 123
! Formation energy, kJ/mol of atoms: -25.3
! DOS(E_F), states/eV per cell: 20.63

Asked for final energy across the records above, the calculation gives -25.121 -41.719 -70.866 eV for the cell shown in order.